# Cs2VHF6 | the Alexandria database | PBE+U | relaxed
data_Cs2VHF6
_cell_length_a 6.611
_cell_length_b 6.611
_cell_length_c 9.042
_cell_angle_alpha 90.00
_cell_angle_beta 90.00
_cell_angle_gamma 90.00
_symmetry_space_group_name_H-M 'I 4/m m m'
_symmetry_Int_Tables_number 139
_symmetry_space_group_name_Hall '-I 4 2'
loop_
_atom_site_label
_atom_site_type_symbol
_atom_site_fract_x
_atom_site_fract_y
_atom_site_fract_z
Cs1 Cs 0.000 0.500 0.250
V1 V 0.000 0.000 0.000
H1 H 0.000 0.000 0.500
F1 F 0.000 0.000 0.205
F2 F 0.203 0.203 0.000
# **VASP energy**: -4.749 eV/atom
# **Theoretical density**: 3.6 Mg/m³